This record from Alexandria via LeMat-Bulk describes an optimized crystal structure of Ba8PPt3. The functional is PBE.

```
Ba8PPt3
1.0
4.678 2.701 7.524
-4.678 2.701 7.524
0.000 -5.402 7.524
Ba P Pt
8 1 3
direct
0.240 0.740 0.740 Ba
0.243 0.243 0.243 Ba
0.260 0.260 0.760 Ba
0.260 0.760 0.260 Ba
0.740 0.240 0.740 Ba
0.740 0.740 0.240 Ba
0.757 0.757 0.757 Ba
0.760 0.260 0.260 Ba
0.500 0.500 0.500 P
0.000 0.000 0.500 Pt
0.000 0.500 0.000 Pt
0.500 0.000 0.000 Pt
```

Results
Energy of formation: -657 meV per atom
Symmetry: R-3m
Raw total energy: -46.80 eV for the cell shown